Entry 1:
Compound: DyPaCd
Source: Alexandria via LeMat-Bulk
Functional: PBE-GGA
Structure: relaxed

POSCAR file:
```
DyPaCd
1.0
0.000 4.110 7.987
2.670 0.000 7.987
2.670 4.110 0.000
Dy Pa Cd
2 2 2
Direct
0.099 0.099 0.901
0.901 0.901 0.099
0.250 0.250 0.250
0.750 0.750 0.750
0.332 0.668 0.332
0.668 0.332 0.668
```

Properties
The value obtained for the density is 9.59 g/cm³. As for the volume: 29.22 A^3/atom. Its total moment is 3.6 μB per cell.


Entry 2:
Compound: DyPaCdSn
Source: Alexandria via LeMat-Bulk
Functional: PBE-GGA
Structure: relaxed

POSCAR file:
```
DyPaCdSn
1.0
7.503 0.000 0.000
0.000 7.503 0.000
0.000 0.000 7.503
Dy Pa Cd Sn
4 4 4 4
Direct
0.000 0.000 0.000
0.000 0.500 0.500
0.500 0.000 0.500
0.500 0.500 0.000
0.000 0.000 0.500
0.000 0.500 0.000
0.500 0.000 0.000
0.500 0.500 0.500
0.250 0.250 0.250
0.250 0.750 0.750
0.750 0.250 0.750
0.750 0.750 0.250
0.250 0.250 0.750
0.250 0.750 0.250
0.750 0.250 0.250
0.750 0.750 0.750
```

Properties
The value obtained for the density is 9.82 g/cm³. As for the volume: 26.40 A^3/atom. Its total moment is 7.0 μB per cell.


Entry 3:
Compound: DyCd2Pb
Source: Alexandria via LeMat-Bulk
Functional: PBE-GGA
Structure: relaxed

POSCAR file:
```
DyCd2Pb
1.0
3.608 0.000 0.000
0.000 3.608 0.000
0.000 0.000 8.166
Dy Cd Pb
1 2 1
Direct
0.000 0.000 0.000
0.500 0.500 0.245
0.500 0.500 0.755
0.000 0.000 0.500
```

Properties
The value obtained for the density is 9.29 g/cm³. As for the volume: 26.57 A^3/atom. Its total moment is 0.2 μB per cell.


no.,E_form (eV per atom)
1,0.507
2,-0.117
3,-0.167